#1
VASP calculation (GGA-PBE) on crystalline LiZnPd3 at its relaxed geometry.

Lattice parameters (Å, degrees): 4.458 4.874 7.160 111.49 90.00 90.00
Fractional positions:
Li (0.515, 0.735, 0.084)
Li (0.015, 0.033, 0.299)
Zn (0.015, 0.624, 0.502)
Zn (0.515, 0.143, 0.881)
Pd (0.515, 0.546, 0.694)
Pd (0.515, 0.921, 0.477)
Pd (0.015, 0.222, 0.689)
Pd (0.015, 0.453, 0.108)
Pd (0.015, 0.847, 0.906)
Pd (0.515, 0.314, 0.275)

crystal system: monoclinic
D(E_F): 0.330 states/eV/atom
theoretical density: 9.0 g cm⁻³


#2
VASP calculation (GGA-PBE) on crystalline LiZnPd3 at its relaxed geometry.

Lattice parameters (Å, degrees): 4.240 4.240 4.240 90.00 90.00 90.00
Fractional positions:
Zn (0.500, 0.500, 0.500)
Pd (0.000, 0.500, 0.000)
Pd (0.000, 0.000, 0.500)
Pd (0.500, 0.000, 0.000)
Li (0.000, 0.000, 0.000)

crystal system: cubic
D(E_F): 0.381 states/eV/atom
theoretical density: 8.5 g cm⁻³


On energetic grounds, #1 is preferred over the next structure by 0.537 eV/atom.